A geometry-optimized AlCrBr2 structure. Source: the Alexandria database, functional GGA-PBE.

## Properties
D(E_F) = 2.00 states/eV/atom
E_tot = -13.68 eV per cell
SG = Fm-3m
Energy relative to the elements, uncorrected = 759 meV per atom

Unit cell a=4.7250 b=4.7250 c=4.7250 alpha=60.00 beta=60.00 gamma=60.00
Atoms (fractional coordinates):
Al 0.0000 0.0000 0.0000
Cr 0.5000 0.5000 0.5000
Br 0.2500 0.2500 0.2500
Br 0.7500 0.7500 0.7500